Here is LiFeNiP after structural relaxation from the Alexandria database. Energies are from PBE-GGA.

## Properties
For the total energy, the calculation gives -0.212 hartree per atom. The value obtained for the energy of formation is -0.38 eV/atom. The volume is 39.8 Å³ per cell. As for the space-group type: F-43m, No. 216.

Unit cell a=3.831 b=3.831 c=3.831 alpha=60.00 beta=60.00 gamma=60.00
Fractional positions:
Li 0.000 0.000 0.000
Fe 0.750 0.750 0.750
Ni 0.250 0.250 0.250
P 0.500 0.500 0.500